This record from Alexandria via LeMat-Bulk describes a relaxed Be2BrCl crystal. The functional is PBE-GGA.

Unit cell a=4.9770 b=4.9770 c=4.9770 alpha=141.47 beta=100.39 gamma=92.14
Sites, in units of the cell vectors:
Be 0.0100 0.0100 0.0000
Be 0.4900 0.4900 0.0000
Br 0.7500 0.2500 0.5000
Cl 0.2500 0.7500 0.5000

Values from the calculation:
**Energy relative to the lowest polymorph listed for this composition**: 833.3 meV/atom
**E_tot**: -2.2985 eV per atom
**ΔE_f (raw)**: 0.44 eV/atom
**Space group**: Immm, No. 71

This record from Alexandria via LeMat-Bulk describes a relaxed BeBrCl2 crystal. The functional is PBE-GGA.

Unit cell a=4.8523 b=4.8523 c=4.8523 alpha=60.00 beta=60.00 gamma=60.00
Last column: magnetic moment on the atom in μB.
Sites, in units of the cell vectors:
Be 0.0000 0.0000 0.0000  -0.03
Br 0.5000 0.5000 0.5000  0.52
Cl 0.2500 0.2500 0.2500  0.17
Cl 0.7500 0.7500 0.7500  0.17

Values from the calculation:
**Energy relative to the lowest polymorph listed for this composition**: 1416.4 meV/atom
**E_tot**: -1.6420 eV per atom
**ΔE_f (raw)**: 0.63 eV/atom
**Space group**: Fm-3m, No. 225

This record from Alexandria via LeMat-Bulk describes a relaxed BeBrCl4 crystal. The functional is PBE-GGA.

Unit cell a=5.7649 b=5.7649 c=5.7649 alpha=60.00 beta=60.00 gamma=60.00
Last column: magnetic moment on the atom in μB.
Sites, in units of the cell vectors:
Be 0.7500 0.7500 0.7500  0.00
Br 0.0000 0.0000 0.0000  -0.02
Cl 0.8734 0.3755 0.3755  0.12
Cl 0.3755 0.3755 0.8734  0.12
Cl 0.3755 0.8734 0.3755  0.12
Cl 0.3755 0.3755 0.3755  0.12

Values from the calculation:
**E_tot**: -1.1659 eV per atom
**ΔE_f (raw)**: 0.97 eV/atom
**Space group**: F-43m, No. 216

This record from Alexandria via LeMat-Bulk describes a relaxed Be2BrCl crystal. The functional is PBE-GGA.

Unit cell a=4.4589 b=4.4589 c=4.4589 alpha=60.00 beta=60.00 gamma=60.00
Sites, in units of the cell vectors:
Be 0.2500 0.2500 0.2500
Be 0.7500 0.7500 0.7500
Br 0.5000 0.5000 0.5000
Cl 0.0000 0.0000 0.0000

Values from the calculation:
**Energy relative to the lowest polymorph listed for this composition**: 1094.4 meV/atom
**E_tot**: -2.0374 eV per atom
**ΔE_f (raw)**: 0.71 eV/atom
**Space group**: Fm-3m, No. 225

This record from Alexandria via LeMat-Bulk describes a relaxed Be2BrCl crystal. The functional is PBE-GGA.

Unit cell a=4.4492 b=4.4492 c=3.1844 alpha=90.00 beta=90.00 gamma=90.00
Sites, in units of the cell vectors:
Be 0.0000 0.0000 0.0000
Be 0.5000 0.5000 0.0000
Br 0.5000 0.0000 0.5000
Cl 0.0000 0.5000 0.5000

Values from the calculation:
**Energy relative to the lowest polymorph listed for this composition**: 1108.7 meV/atom
**E_tot**: -2.0230 eV per atom
**ΔE_f (raw)**: 0.72 eV/atom
**Space group**: P4/mmm, No. 123

This record from Alexandria via LeMat-Bulk describes a relaxed BeBrCl2 crystal. The functional is PBE-GGA.

Unit cell a=3.7411 b=7.2945 c=3.8114 alpha=90.00 beta=90.00 gamma=116.41
Sites, in units of the cell vectors:
Be 0.5000 0.0000 0.5000
Br 0.0000 0.5000 0.5000
Cl 0.0000 0.0000 0.0000
Cl 0.5000 0.5000 0.0000

Values from the calculation:
**Energy relative to the lowest polymorph listed for this composition**: 1171.5 meV/atom
**E_tot**: -1.8869 eV per atom
**ΔE_f (raw)**: 0.39 eV/atom
**Space group**: P2/m, No. 10